Computed, not measured: crystalline Mn2CdNi at its relaxed geometry at the PBE-GGA level of DFT.

a = 5.1626 Å, b = 5.1626 Å, c = 4.4098 Å
α = 65.94°, β = 65.94°, γ = 34.61°
Closest atoms and distances in Å follow each position.
Sites, in units of the cell vectors:
Mn: 0.0050 0.0050 0.9938  4 Ni 2.69-2.70, 3 Mn 2.85-2.97, 3 Cd 2.86-2.98
Cd: 0.2339 0.2339 0.2667  2 Ni 2.69, 7 Mn 2.71-2.98
Ni: 0.4868 0.4868 0.5124  6 Mn 2.44-2.70, 2 Cd 2.69
Mn: 0.7743 0.7743 0.7272  2 Ni 2.44, 4 Cd 2.71

Calculated values
Theoretical density ... 7.729 g cm⁻³
SG ... No. 8
Total DFT energy (no corrections) ... -5.9978 eV per atom
V ... 15.1 Å³ per atom